Here is a geometry-optimized Sr2VO2 structure from Alexandria via LeMat-Bulk. Energies are from GGA+U.

Results
Relative energy among the computed polymorphs ... 269 meV/atom
Total energy ... -4.96 eV per atom

Lattice parameters (Å, degrees): 7.5605 7.5605 3.1670 90.00 90.00 90.00
Space group P4/mbm (No. 127)
Asymmetric unit:
1 Sr 0.1457 0.3543 0.0000 (multiplicity 4)
2 V 0.0000 0.0000 0.0000 (multiplicity 2)
3 O 0.1512 0.6512 0.5000 (multiplicity 4)